The following is a DFT calculation (PBE) of a relaxed structure of Mg2ReRh.

## Properties
Space-group type: P4mm, No. 99
Energy relative to the elements (meV per atom): -66
Total moment (μB/cell): 0.00
Excess energy over the best structure of this formula in the dataset (meV/atom): 0

Cell lengths 2.8848, 2.8848, 8.1733 Å; angles 90.00, 90.00, 90.00 degrees
Element x y z (fractional)
Mg: 0.0000 0.0000 0.0000
Mg: 0.5000 0.5000 0.3213
Re: 0.0000 0.0000 0.5678
Rh: 0.5000 0.5000 0.7713


The following is a DFT calculation (PBE) of a relaxed structure of NaScB4H16.

## Properties
Space-group type: Cmcm, No. 63
Total moment (μB/cell): 0.00

Cell lengths 7.1501, 7.1501, 8.7710 Å; angles 90.00, 90.00, 110.98 degrees
Element x y z (fractional)
Na: 0.0000 0.0000 0.0000
Na: 0.0000 0.0000 0.5000
Sc: 0.3540 0.6460 0.7500
Sc: 0.6460 0.3540 0.2500
B: 0.2341 0.2983 0.7500
B: 0.2419 0.7581 0.5358
B: 0.2419 0.7581 0.9642
B: 0.2983 0.2341 0.2500
B: 0.7017 0.7659 0.7500
B: 0.7581 0.2419 0.0358
B: 0.7581 0.2419 0.4642
B: 0.7659 0.7017 0.2500
H: 0.0998 0.3689 0.7500
H: 0.1022 0.6527 0.6174
H: 0.1022 0.6527 0.8826
H: 0.1174 0.1678 0.2500
H: 0.1678 0.1174 0.7500
H: 0.1856 0.8144 0.0787
H: 0.1856 0.8144 0.4213
H: 0.3403 0.3646 0.6370
H: 0.3403 0.3646 0.8630
H: 0.3436 0.6564 0.5029
H: 0.3436 0.6564 0.9971
H: 0.3473 0.8978 0.6174
H: 0.3473 0.8978 0.8826
H: 0.3646 0.3403 0.1370
H: 0.3646 0.3403 0.3630
H: 0.3689 0.0998 0.2500
H: 0.6311 0.9002 0.7500
H: 0.6354 0.6597 0.6370
H: 0.6354 0.6597 0.8630
H: 0.6527 0.1022 0.1174
H: 0.6527 0.1022 0.3826
H: 0.6564 0.3436 0.0029
H: 0.6564 0.3436 0.4971
H: 0.6597 0.6354 0.1370
H: 0.6597 0.6354 0.3630
H: 0.8144 0.1856 0.5787
H: 0.8144 0.1856 0.9213
H: 0.8322 0.8826 0.2500
H: 0.8826 0.8322 0.7500
H: 0.8978 0.3473 0.1174
H: 0.8978 0.3473 0.3826
H: 0.9002 0.6311 0.2500


The following is a DFT calculation (PBE) of a relaxed structure of ZnTe2.

## Properties
Space-group type: C2/m, No. 12
Energy relative to the elements, uncorrected (eV per atom): -0.02
Total moment (μB/cell): 0.00

Cell lengths 6.9034, 6.9034, 7.9535 Å; angles 112.46, 112.46, 34.66 degrees
Element x y z (fractional)
Zn: 0.1879 0.1879 0.0461
Zn: 0.8121 0.8121 0.9539
Te: 0.2081 0.2081 0.5827
Te: 0.4119 0.4119 0.1697
Te: 0.5881 0.5881 0.8303
Te: 0.7919 0.7919 0.4173


The following is a DFT calculation (PBE) of a relaxed structure of Nb2CrI.

## Properties
Space-group type: I-42d, No. 122
Energy relative to the elements, uncorrected (eV per atom): 1.26
Total moment (μB/cell): 0.00
Excess energy over the best structure of this formula in the dataset (meV/atom): 437

Cell lengths 7.7692, 7.7692, 7.7692 Å; angles 138.77, 138.77, 59.72 degrees
Element x y z (fractional)
Nb: 0.0329 0.6250 0.9079
Nb: 0.3750 0.2829 0.4079
Nb: 0.7171 0.1250 0.0921
Nb: 0.8750 0.9671 0.5921
Cr: 0.0000 0.0000 0.0000
Cr: 0.7500 0.2500 0.5000
I: 0.2500 0.7500 0.5000
I: 0.5000 0.5000 0.0000


Number 1: E -5.813 eV/atom, ρ 8245 kg/m3, calculated volume 17.01 Å³/atom. Number 2: E -4.291 eV/atom, ρ 1010 kg/m3, calculated volume 9.52 Å³/atom. Number 3: E -2.544 eV/atom, ρ 5391 kg/m3, calculated volume 32.92 Å³/atom. Number 4: E -6.572 eV/atom, ρ 6007 kg/m3, calculated volume 25.21 Å³/atom.